(1)
Below is an optimized crystal structure of CsNbCrPd2, with properties calculated at the GGA-PBE level.

a = 5.181 Å, b = 5.181 Å, c = 4.815 Å
α = 90.00°, β = 90.00°, γ = 90.00°
Space group P4/mmm (No. 123)
One atom of each set of equivalent atoms:
Cs  0.000  0.000  0.000 (multiplicity 1)
Nb  0.500  0.500  0.500 (multiplicity 1)
Cr  0.500  0.500  0.000 (multiplicity 1)
Pd  0.000  0.500  0.500 (multiplicity 2)

- Crystal system: tetragonal
- ΔE_f: 0.91 eV per atom



(2)
Below is an optimized crystal structure of Cs2NbCrRe, with properties calculated at the GGA-PBE level.

a = 6.366 Å, b = 6.366 Å, c = 4.791 Å
α = 90.00°, β = 90.00°, γ = 90.00°
Space group P4/mmm (No. 123)
One atom of each set of equivalent atoms:
Cs  0.000  0.500  0.000 (multiplicity 2)
Nb  0.000  0.000  0.500 (multiplicity 1)
Cr  0.000  0.000  0.000 (multiplicity 1)
Re  0.500  0.500  0.500 (multiplicity 1)

- Crystal system: tetragonal
- ΔE_f: 2.41 eV per atom



(3)
Below is an optimized crystal structure of Cs2NbCr2Se6, with properties calculated at the GGA-PBE level.

a = 6.615 Å, b = 11.375 Å, c = 8.673 Å
α = 90.00°, β = 104.08°, γ = 90.00°
Space group C2/m (No. 12)
One atom of each set of equivalent atoms:
Cs  0.000  0.165  0.000 (multiplicity 4)
Nb  0.000  0.000  0.500 (multiplicity 2)
Cr  0.000  0.332  0.500 (multiplicity 4)
Se  0.209  0.500  0.667 (multiplicity 4)
Se  0.226  0.169  0.667 (multiplicity 8)

- Uncorrected formation energy: -781 meV/atom
- Crystal system: monoclinic



(4)
Below is an optimized crystal structure of Cs3NbCr2Te6, with properties calculated at the GGA-PBE level.

a = 7.418 Å, b = 12.842 Å, c = 8.927 Å
α = 90.00°, β = 106.08°, γ = 90.00°
Space group C2/m (No. 12)
One atom of each set of equivalent atoms:
Cs  0.000  0.000  0.000 (multiplicity 2)
Cs  0.000  0.336  0.000 (multiplicity 4)
Nb  0.000  0.500  0.500 (multiplicity 2)
Cr  0.000  0.167  0.500 (multiplicity 4)
Te  0.216  0.000  0.666 (multiplicity 4)
Te  0.225  0.330  0.667 (multiplicity 8)

- Uncorrected formation energy: -511 meV/atom
- Crystal system: monoclinic



(5)
Below is an optimized crystal structure of CsNb2VCr, with properties calculated at the GGA-PBE level.

a = 4.690 Å, b = 4.690 Å, c = 5.720 Å
α = 90.00°, β = 90.00°, γ = 90.00°
Space group P4/mmm (No. 123)
One atom of each set of equivalent atoms:
Cs  0.000  0.000  0.000 (multiplicity 1)
Nb  0.000  0.500  0.500 (multiplicity 2)
V  0.500  0.500  0.000 (multiplicity 1)
Cr  0.000  0.000  0.500 (multiplicity 1)

- Crystal system: tetragonal
- ΔE_f: 1.92 eV per atom



| no. | energy (eV per atom) |
| --- | --- |
| 1 | -5.28 |
| 2 | -4.36 |
| 3 | -5.50 |
| 4 | -4.74 |
| 5 | -6.03 |